# PBE-GGA TlCuSeS3, optimized geometry
# * SG: P2_1/m
# * final energy: -43.93 eV for the cell shown
data_TlCuSeS3
_chemical_formula_sum 'Tl2 Cu2 Se2 S6'
_cell_length_a 7.601
_cell_length_b 3.828
_cell_length_c 9.866
_cell_angle_alpha 90.00
_cell_angle_beta 111.05
_cell_angle_gamma 90.00
_symmetry_space_group_name_H-M 'P 1'
_symmetry_Int_Tables_number 1
loop_
_symmetry_equiv_pos_as_xyz
'x,y,z'
loop_
_atom_site_label
_atom_site_type_symbol
_atom_site_fract_x
_atom_site_fract_y
_atom_site_fract_z
Tl1 Tl 0.234 0.250 0.175
Tl2 Tl 0.766 0.750 0.825
Cu1 Cu 0.420 0.250 0.909
Cu2 Cu 0.580 0.750 0.091
Se1 Se 0.178 0.750 0.632
Se2 Se 0.822 0.250 0.368
S1 S 0.076 0.750 0.382
S2 S 0.254 0.750 0.933
S3 S 0.400 0.250 0.666
S4 S 0.600 0.750 0.334
S5 S 0.746 0.250 0.067
S6 S 0.924 0.250 0.618